# Ag5Pd2Au12 | the Alexandria database | GGA-PBE | relaxed
# - Fermi-level density of states: 9.44 states/eV/cell
# - Calculated total energy: -128.2 eV for the cell shown
# - Magnetic moment: 0.00 Bohr magnetons per cell
data_Ag5Pd2Au12
_cell_length_a 16.121
_cell_length_b 9.509
_cell_length_c 4.745
_cell_angle_alpha 90.00
_cell_angle_beta 107.06
_cell_angle_gamma 90.00
_symmetry_space_group_name_H-M 'C 1 2/m 1'
_symmetry_Int_Tables_number 12
_symmetry_space_group_name_Hall '-C 2y'
loop_
_atom_site_label
_atom_site_fract_x
_atom_site_fract_y
_atom_site_fract_z
_atom_site_occupancy
Ag1 0.000 0.000 0.000 1
Ag2 0.198 0.000 0.194 1
Ag3 0.201 0.500 0.207 1
Pd1 0.000 0.246 0.500 1
Au1 0.092 0.500 0.600 1
Au2 0.094 0.262 0.094 1
Au3 0.099 0.000 0.597 1
Au4 0.197 0.254 0.697 1

=====

# Ag6PdAu8 | the Alexandria database | GGA-PBE | relaxed
# - Fermi-level density of states: 6.57 states/eV/cell
# - E above lowest polymorph: 1.67 eV/f.u.
# - Calculated total energy: -46.8 eV for the cell shown
# - Magnetic moment: 0.00 Bohr magnetons per cell
data_Ag6PdAu8
_cell_length_a 10.7396
_cell_length_b 10.7396
_cell_length_c 2.8847
_cell_angle_alpha 90.00
_cell_angle_beta 90.00
_cell_angle_gamma 120.00
_symmetry_space_group_name_H-M 'P -3'
_symmetry_Int_Tables_number 147
_symmetry_space_group_name_Hall '-P 3'
loop_
_atom_site_label
_atom_site_fract_x
_atom_site_fract_y
_atom_site_fract_z
_atom_site_occupancy
Ag1 0.0923 0.4643 0.2696 1
Pd1 0.0000 0.0000 0.5000 1
Au1 0.0723 0.7970 0.2097 1
Au2 0.3333 0.6667 0.7707 1

=====

# AgPd3Au7 | the Alexandria database | GGA-PBE | relaxed
# - Fermi-level density of states: 7.23 states/eV/cell
# - Calculated total energy: -79.8 eV for the cell shown
# - Magnetic moment: 0.00 Bohr magnetons per cell
data_AgPd3Au7
_cell_length_a 9.771
_cell_length_b 9.889
_cell_length_c 5.029
_cell_angle_alpha 90.00
_cell_angle_beta 120.82
_cell_angle_gamma 90.00
_symmetry_space_group_name_H-M 'C 1 2/m 1'
_symmetry_Int_Tables_number 12
_symmetry_space_group_name_Hall '-C 2y'
loop_
_atom_site_label
_atom_site_fract_x
_atom_site_fract_y
_atom_site_fract_z
_atom_site_occupancy
Ag1 0.000 0.000 0.000 1
Pd1 0.000 0.267 0.500 1
Pd2 0.000 0.500 0.000 1
Au1 0.000 0.000 0.500 1
Au2 0.170 0.260 0.170 1
Au3 0.174 0.500 0.672 1

=====

# Ag8PdAu3 | the Alexandria database | GGA-PBE | relaxed
# - Fermi-level density of states: 5.46 states/eV/cell
# - E above lowest polymorph: 5.05 eV/f.u.
# - Calculated total energy: -66.5 eV for the cell shown
# - Magnetic moment: 0.00 Bohr magnetons per cell
data_Ag8PdAu3
_cell_length_a 7.378
_cell_length_b 7.378
_cell_length_c 9.742
_cell_angle_alpha 90.00
_cell_angle_beta 90.00
_cell_angle_gamma 90.00
_symmetry_space_group_name_H-M 'I -4 2 m'
_symmetry_Int_Tables_number 121
_symmetry_space_group_name_Hall 'I -4 2'
loop_
_atom_site_label
_atom_site_fract_x
_atom_site_fract_y
_atom_site_fract_z
_atom_site_occupancy
Ag1 0.135 0.135 0.260 1
Ag2 0.247 0.247 0.515 1
Pd1 0.000 0.000 0.500 1
Au1 0.000 0.000 0.000 1
Au2 0.000 0.500 0.250 1

=====

# AgPd2Au2 | the Alexandria database | GGA-PBE | relaxed
# - Fermi-level density of states: 4.35 states/eV/cell
# - E above lowest polymorph: 0.02 eV/f.u.
# - Calculated total energy: -38.9 eV for the cell shown
# - Magnetic moment: 0.00 Bohr magnetons per cell
data_AgPd2Au2
_cell_length_a 7.784
_cell_length_b 7.784
_cell_length_c 2.982
_cell_angle_alpha 90.00
_cell_angle_beta 90.00
_cell_angle_gamma 90.00
_symmetry_space_group_name_H-M 'P 4/m b m'
_symmetry_Int_Tables_number 127
_symmetry_space_group_name_Hall '-P 4 2ab'
loop_
_atom_site_label
_atom_site_fract_x
_atom_site_fract_y
_atom_site_fract_z
_atom_site_occupancy
Ag1 0.000 0.000 0.000 1
Pd1 0.162 0.338 0.500 1
Au1 0.135 0.635 0.000 1

=====

# Ag6Pd3Au2 | the Alexandria database | GGA-PBE | relaxed
# - Fermi-level density of states: 2.50 states/eV/cell
# - E above lowest polymorph: 0.00 eV/f.u.
# - Calculated total energy: -39.9 eV for the cell shown
# - Magnetic moment: 0.00 Bohr magnetons per cell
data_Ag6Pd3Au2
_cell_length_a 5.013
_cell_length_b 6.402
_cell_length_c 6.509
_cell_angle_alpha 107.33
_cell_angle_beta 104.63
_cell_angle_gamma 96.94
_symmetry_space_group_name_H-M 'P -1'
_symmetry_Int_Tables_number 2
_symmetry_space_group_name_Hall '-P 1'
loop_
_atom_site_label
_atom_site_fract_x
_atom_site_fract_y
_atom_site_fract_z
_atom_site_occupancy
Ag1 0.049 0.410 0.185 1
Ag2 0.138 0.232 0.546 1
Ag3 0.319 0.863 0.274 1
Pd1 0.410 0.681 0.638 1
Pd2 0.500 0.500 0.000 1
Au1 0.232 0.050 0.910 1

=====

# AgPdAu3 | the Alexandria database | GGA-PBE | relaxed
# - Fermi-level density of states: 7.99 states/eV/cell
# - E above lowest polymorph: 0.00 eV/f.u.
# - Calculated total energy: -142.2 eV for the cell shown
# - Magnetic moment: 0.00 Bohr magnetons per cell
data_AgPdAu3
_cell_length_a 7.563
_cell_length_b 11.673
_cell_length_c 8.785
_cell_angle_alpha 90.00
_cell_angle_beta 111.16
_cell_angle_gamma 90.00
_symmetry_space_group_name_H-M 'C 1 2/c 1'
_symmetry_Int_Tables_number 15
_symmetry_space_group_name_Hall '-C 2yc'
loop_
_atom_site_label
_atom_site_fract_x
_atom_site_fract_y
_atom_site_fract_z
_atom_site_occupancy
Ag1 0.087 0.184 0.473 1
Pd1 0.000 0.008 0.750 1
Pd2 0.000 0.380 0.250 1
Au1 0.097 0.406 0.601 1
Au2 0.204 0.218 0.830 1
Au3 0.223 0.042 0.071 1

=====

# Ag7PdAu3 | the Alexandria database | GGA-PBE | relaxed
# - Fermi-level density of states: 6.03 states/eV/cell
# - Calculated total energy: -66.4 eV for the cell shown
# - Magnetic moment: 0.00 Bohr magnetons per cell
data_Ag7PdAu3
_cell_length_a 9.801
_cell_length_b 10.025
_cell_length_c 5.090
_cell_angle_alpha 90.00
_cell_angle_beta 120.04
_cell_angle_gamma 90.00
_symmetry_space_group_name_H-M 'C 1 2/m 1'
_symmetry_Int_Tables_number 12
_symmetry_space_group_name_Hall '-C 2y'
loop_
_atom_site_label
_atom_site_fract_x
_atom_site_fract_y
_atom_site_fract_z
_atom_site_occupancy
Ag1 0.000 0.000 0.000 1
Ag2 0.167 0.255 0.667 1
Ag3 0.178 0.500 0.166 1
Pd1 0.000 0.000 0.500 1
Au1 0.000 0.267 0.000 1
Au2 0.000 0.500 0.500 1

=====

# Ag4Pd12Au3 | the Alexandria database | GGA-PBE | relaxed
# - Fermi-level density of states: 53.68 states/eV/cell
# - Calculated total energy: -145.7 eV for the cell shown
# - Magnetic moment: 0.00 Bohr magnetons per cell
data_Ag4Pd12Au3
_cell_length_a 5.936
_cell_length_b 9.027
_cell_length_c 16.795
_cell_angle_alpha 90.00
_cell_angle_beta 90.00
_cell_angle_gamma 90.00
_symmetry_space_group_name_H-M 'I m m 2'
_symmetry_Int_Tables_number 44
_symmetry_space_group_name_Hall 'I 2 -2'
loop_
_atom_site_label
_atom_site_fract_x
_atom_site_fract_y
_atom_site_fract_z
_atom_site_occupancy
Ag1 0.250 0.250 0.000 1
Pd1 0.000 0.227 0.132 1
Pd2 0.000 0.227 0.368 1
Pd3 0.222 0.500 0.602 1
Pd4 0.222 0.500 0.898 1
Pd5 0.223 0.244 0.750 1
Au1 0.000 0.000 0.250 1
Au2 0.000 0.000 0.750 1
Au3 0.000 0.500 0.750 1

=====

# AgPd5Au | the Alexandria database | GGA-PBE | relaxed
# - Fermi-level density of states: 15.48 states/eV/cell
# - E above lowest polymorph: 0.00 eV/f.u.
# - Calculated total energy: -62.8 eV for the cell shown
# - Magnetic moment: 0.00 Bohr magnetons per cell
data_AgPd5Au
_cell_length_a 5.502
_cell_length_b 8.124
_cell_length_c 5.493
_cell_angle_alpha 90.00
_cell_angle_beta 90.00
_cell_angle_gamma 90.00
_symmetry_space_group_name_H-M 'C m m m'
_symmetry_Int_Tables_number 65
_symmetry_space_group_name_Hall '-C 2 2'
loop_
_atom_site_label
_atom_site_fract_x
_atom_site_fract_y
_atom_site_fract_z
_atom_site_occupancy
Ag1 0.000 0.000 0.000 1
Pd1 0.000 0.500 0.000 1
Pd2 0.250 0.250 0.254 1
Au1 0.000 0.500 0.500 1

=====

# AgPd3Au5 | the Alexandria database | GGA-PBE | relaxed
# - Fermi-level density of states: 7.16 states/eV/cell
# - E above lowest polymorph: 0.00 eV/f.u.
# - Calculated total energy: -69.9 eV for the cell shown
# - Magnetic moment: 0.00 Bohr magnetons per cell
data_AgPd3Au5
_cell_length_a 8.0589
_cell_length_b 8.0589
_cell_length_c 5.5820
_cell_angle_alpha 90.00
_cell_angle_beta 90.00
_cell_angle_gamma 120.00
_symmetry_space_group_name_H-M 'P 63/m c m'
_symmetry_Int_Tables_number 193
_symmetry_space_group_name_Hall '-P 6c 2'
loop_
_atom_site_label
_atom_site_fract_x
_atom_site_fract_y
_atom_site_fract_z
_atom_site_occupancy
Ag1 0.0000 0.0000 0.0000 1
Pd1 0.0000 0.3414 0.2500 1
Au1 0.0000 0.3246 0.7500 1
Au2 0.3333 0.6667 0.0000 1

=====

# AgPdAu3 | the Alexandria database | GGA-PBE | relaxed
# - Fermi-level density of states: 1.60 states/eV/cell
# - E above lowest polymorph: 3.70 eV/f.u.
# - Calculated total energy: -14.1 eV for the cell shown
# - Magnetic moment: 0.00 Bohr magnetons per cell
data_AgPdAu3
_cell_length_a 5.034
_cell_length_b 5.034
_cell_length_c 5.034
_cell_angle_alpha 90.00
_cell_angle_beta 90.00
_cell_angle_gamma 90.00
_symmetry_space_group_name_H-M 'P m -3 m'
_symmetry_Int_Tables_number 221
_symmetry_space_group_name_Hall '-P 4 2 3'
loop_
_atom_site_label
_atom_site_fract_x
_atom_site_fract_y
_atom_site_fract_z
_atom_site_occupancy
Ag1 0.000 0.000 0.000 1
Pd1 0.500 0.500 0.500 1
Au1 0.000 0.500 0.500 1